Compound: Pr2SnBRh6
Source: Alexandria
Functional: PBE-GGA
Structure: relaxed

Symmetry   P-1
Density of states at the Fermi level   0.9308 states/eV per atom
Energy of formation from the pure elements   -0.528 eV per atom

Geometry as extended XYZ:
```
10
Lattice="5.800 0.000 0.000 2.885 5.040 0.000 2.866 1.646 6.399" Properties=species:S:1:pos:R:3 pbc="T T T"
Pr 2.898 1.681 1.987
Pr 8.652 5.005 4.412
Sn 5.775 3.343 3.200
B 0.000 0.000 0.000
Rh 5.744 4.907 5.333
Rh 4.362 2.510 5.271
Rh 4.418 4.169 1.085
Rh 7.133 2.517 5.315
Rh 7.189 4.177 1.128
Rh 5.806 1.779 1.066
```

=====

Compound: Dy2ScSb4
Source: Alexandria
Functional: PBE-GGA
Structure: relaxed

Energy relative to the elements, uncorrected   -0.77 eV per atom
Symmetry   P-4m2
Density of states at the Fermi level   0.3742 states/eV per atom

Geometry as extended XYZ:
```
7
Lattice="4.271 0.000 0.000 0.000 4.271 0.000 0.000 0.000 11.094" Properties=species:S:1:pos:R:3 pbc="T T T"
Dy 0.000 2.136 2.395
Dy 2.136 0.000 8.699
Sc 0.000 0.000 5.547
Sb 0.000 0.000 0.000
Sb 0.000 2.136 7.477
Sb 2.136 0.000 3.617
Sb 2.136 2.136 0.000
```

=====

Compound: YBeC
Source: Alexandria
Functional: PBE-GGA
Structure: relaxed

ΔE to the lowest computed polymorph   4 meV per atom
Symmetry   P-6m2
Density of states at the Fermi level   0.4072 states/eV per atom
Energy of formation from the pure elements   -0.261 eV per atom

Geometry as extended XYZ:
```
3
Lattice="3.364 0.000 0.000 -1.682 2.913 0.000 0.000 0.000 3.794" Properties=species:S:1:pos:R:3 pbc="T T T"
Y 0.000 0.000 0.000
Be 1.682 0.971 1.897
C 0.000 1.942 1.897
```